(1)
Here is an optimized crystal structure of YC4 from Alexandria via LeMat-Bulk. Energies are from PBE.

Results
Energy of formation   0.7499 eV/atom
Energy   -7.922 eV/atom
Volume   12.04 A^3/atom
Energy above the lowest structure with this stoichiometry   0 meV/atom

Cell lengths 3.6532, 3.6532, 6.4777 Å; angles 89.97, 89.97, 44.12 degrees
Sites, in units of the cell vectors:
C: 0.7418 0.7418 0.5595
C: 0.2582 0.2582 0.4405
C: 0.7136 0.7136 0.7673
C: 0.2864 0.2864 0.2327
Y: 0.0000 0.0000 0.0000

---

(2)
Here is an optimized crystal structure of La2Tb3SmDy6 from Alexandria via LeMat-Bulk. Energies are from PBE.

Results
Energy of formation   0.0190 eV/atom
Energy   -4.654 eV/atom
Volume   32.65 A^3/atom

Cell lengths 6.2241, 6.2241, 11.8610 Å; angles 95.01, 95.01, 119.99 degrees
Sites, in units of the cell vectors:
Tb: 0.8335 0.1665 0.5000
Tb: 0.5000 0.5000 0.5000
Tb: 0.1665 0.8335 0.5000
La: 0.3335 0.6665 0.0000
La: 0.6665 0.3335 0.0000
Dy: 0.4178 0.0852 0.2542
Dy: 0.0852 0.4178 0.2542
Dy: 0.7527 0.7527 0.2543
Dy: 0.2473 0.2473 0.7457
Dy: 0.5822 0.9148 0.7458
Dy: 0.9148 0.5822 0.7458
Sm: 0.0000 0.0000 0.0000

---

(3)
Here is an optimized crystal structure of CuRu3Br from Alexandria via LeMat-Bulk. Energies are from PBE.

Results
Energy relative to the elements, uncorrected   1.66 eV/atom
Energy   -5.055 eV/atom
Volume   18.76 A^3/atom
Energy above the lowest structure with this stoichiometry   0 meV/atom

Cell lengths 4.5434, 4.5434, 4.5434 Å; angles 90.00, 90.00, 90.00 degrees
Each line ends with the local moment (μB).
Sites, in units of the cell vectors:
Br: 0.0000 0.0000 0.0000  -0.01
Ru: 0.0000 0.0000 0.5000  0.88
Ru: 0.0000 0.5000 0.0000  0.96
Ru: 0.5000 0.0000 0.0000  1.06
Cu: 0.5000 0.5000 0.5000  0.11

---

(4)
Here is an optimized crystal structure of CdTe2RhN from Alexandria via LeMat-Bulk. Energies are from PBE.

Results
Energy relative to the elements, uncorrected   1.40 eV/atom
Energy   -3.174 eV/atom
Volume   24.77 A^3/atom
Energy above the lowest structure with this stoichiometry   1115 meV/atom

Cell lengths 5.5895, 5.5895, 3.9635 Å; angles 90.00, 90.00, 90.00 degrees
Each line ends with the local moment (μB).
Sites, in units of the cell vectors:
Te: 0.5000 0.0000 0.0000  0.10
Te: 0.0000 0.5000 0.0000  0.10
Cd: 0.0000 0.0000 0.0000  0.04
N: 0.0000 0.0000 0.5000  0.97
Rh: 0.5000 0.5000 0.5000  -0.12

---

(5)
Here is an optimized crystal structure of LaHo9In2 from Alexandria via LeMat-Bulk. Energies are from PBE.

Results
Energy of formation   -0.1475 eV/atom
Energy   -4.448 eV/atom
Volume   29.56 A^3/atom

Cell lengths 4.8557, 4.8557, 15.0458 Å; angles 90.00, 90.00, 90.00 degrees
Sites, in units of the cell vectors:
Ho: 0.5000 0.5000 0.0000
Ho: 0.5000 0.5000 0.3405
Ho: 0.5000 0.0000 0.8226
Ho: 0.0000 0.5000 0.1774
Ho: 0.0000 0.5000 0.5000
Ho: 0.5000 0.0000 0.5000
Ho: 0.5000 0.5000 0.6595
Ho: 0.5000 0.0000 0.1774
Ho: 0.0000 0.5000 0.8226
In: 0.0000 0.0000 0.3402
In: 0.0000 0.0000 0.6598
La: 0.0000 0.0000 0.0000

---

(6)
Here is an optimized crystal structure of Li2NdDy2Sb2 from Alexandria via LeMat-Bulk. Energies are from PBE.

Results
Energy relative to the elements, uncorrected   -0.57 eV/atom
Energy   -4.294 eV/atom
Volume   25.12 A^3/atom

Cell lengths 4.7607, 4.7607, 9.3696 Å; angles 75.28, 75.28, 60.00 degrees
Sites, in units of the cell vectors:
Dy: 0.1310 0.1310 0.6070
Dy: 0.8690 0.8690 0.3930
Sb: 0.2610 0.2610 0.2170
Sb: 0.7390 0.7390 0.7830
Nd: 0.0000 0.0000 0.0000
Li: 0.4100 0.4100 0.7701
Li: 0.5900 0.5900 0.2299

---

(7)
Here is an optimized crystal structure of Sc2InNiB from Alexandria via LeMat-Bulk. Energies are from PBE.

Results
Energy of formation   -0.3328 eV/atom
Energy   -5.905 eV/atom
Volume   17.30 A^3/atom

Cell lengths 4.7109, 4.7109, 3.8988 Å; angles 90.00, 90.00, 90.00 degrees
Sites, in units of the cell vectors:
In: 0.5000 0.5000 0.5000
Sc: 0.5000 0.0000 0.0000
Sc: 0.0000 0.5000 0.0000
Ni: 0.0000 0.0000 0.5000
B: 0.0000 0.0000 0.0000

---

(8)
Here is an optimized crystal structure of Ca2Ag3Au from Alexandria via LeMat-Bulk. Energies are from PBE.

Results
Energy of formation   -0.3884 eV/atom
Energy   -3.027 eV/atom
Volume   23.56 A^3/atom
Energy above the lowest structure with this stoichiometry   0 meV/atom

Cell lengths 5.9573, 5.9573, 9.5628 Å; angles 113.46, 113.46, 73.84 degrees
Sites, in units of the cell vectors:
Ag: 0.3316 0.3316 0.1658
Ag: 0.1663 0.1663 0.3326
Ag: 0.8337 0.8337 0.6674
Ag: 0.6684 0.6684 0.8342
Ag: 0.8342 0.8342 0.1658
Ag: 0.1658 0.1658 0.8342
Ca: 0.2523 0.7477 0.0000
Ca: 0.7500 0.2500 0.5000
Ca: 0.7477 0.2523 0.0000
Ca: 0.2500 0.7500 0.5000
Au: 0.3333 0.3333 0.6667
Au: 0.6667 0.6667 0.3333

---

(9)
Here is an optimized crystal structure of PmNdTm3Sc from Alexandria via LeMat-Bulk. Energies are from PBE.

Results
Energy of formation   0.0422 eV/atom
Energy   -4.835 eV/atom
Volume   30.64 A^3/atom

Cell lengths 4.9729, 7.8504, 9.9294 Å; angles 90.00, 90.00, 108.47 degrees
Sites, in units of the cell vectors:
Tm: 0.3306 0.6612 0.0000
Tm: 0.6694 0.3388 0.0000
Tm: 0.3306 0.6612 0.5000
Tm: 0.8292 0.6585 0.2500
Tm: 0.6694 0.3388 0.5000
Tm: 0.1708 0.3415 0.7500
Sc: 0.1690 0.3379 0.2500
Sc: 0.8310 0.6621 0.7500
Pm: 0.5017 0.0035 0.2500
Pm: 0.4983 0.9965 0.7500
Nd: 0.0000 0.0000 0.5000
Nd: 0.0000 0.0000 0.0000

---

(10)
Here is an optimized crystal structure of Tm2PuNi from Alexandria via LeMat-Bulk. Energies are from PBE.

Results
Energy of formation   -0.1494 eV/atom
Energy   -7.413 eV/atom
Volume   23.79 A^3/atom
Energy above the lowest structure with this stoichiometry   0 meV/atom

Cell lengths 3.3523, 3.3523, 8.4675 Å; angles 90.00, 90.00, 90.00 degrees
Each line ends with the local moment (μB).
Sites, in units of the cell vectors:
Pu: 0.5000 0.5000 0.5000  5.66
Ni: 0.5000 0.5000 0.0000  0.01
Tm: 0.0000 0.0000 0.8102  0.19
Tm: 0.0000 0.0000 0.1898  0.19

---

(11)
Here is an optimized crystal structure of ZrCrHg from Alexandria via LeMat-Bulk. Energies are from PBE.

Results
Energy of formation   0.6126 eV/atom
Energy   -5.545 eV/atom
Volume   23.47 A^3/atom
Energy above the lowest structure with this stoichiometry   445 meV/atom

Cell lengths 4.6350, 4.6350, 4.6350 Å; angles 60.00, 60.00, 60.00 degrees
Each line ends with the local moment (μB).
Sites, in units of the cell vectors:
Zr: 0.0000 0.0000 0.0000  0.00
Hg: 0.7500 0.7500 0.7500  -0.01
Cr: 0.5000 0.5000 0.5000  3.69

---

(12)
Here is an optimized crystal structure of NpRhO from Alexandria via LeMat-Bulk. Energies are from PBE.

Results
Energy relative to the elements, uncorrected   -1.46 eV/atom
Energy   -9.881 eV/atom
Volume   16.54 A^3/atom

Cell lengths 3.6906, 3.6906, 8.6804 Å; angles 77.73, 77.73, 60.00 degrees
Each line ends with the local moment (μB).
Sites, in units of the cell vectors:
O: 0.8673 0.8673 0.3981  -0.10
O: 0.1327 0.1327 0.6019  -0.10
Np: 0.7689 0.7689 0.6932  3.21
Np: 0.2311 0.2311 0.3068  3.21
Rh: 0.6354 0.6354 0.0937  -0.43
Rh: 0.3646 0.3646 0.9063  -0.43